DFT (GGA-PBE) results for a relaxed structure of Zr2InP.

Unit cell a=3.1576 b=3.4153 c=7.6205 alpha=90.00 beta=96.81 gamma=90.00
Space group P2/m (No. 10)
Inequivalent atoms, fractional coordinates:
Zr 0.0854 0.0000 0.2926 x2
In 0.5000 0.5000 0.0000 x1
P 0.5000 0.5000 0.5000 x1

## Properties
energy relative to the elements = -639 meV/atom
uncorrected energy = -6.95 eV/atom
energy above the lowest structure with this stoichiometry = 0.212 eV/atom